Here is an optimized crystal structure of Mg5Np3Se12 from the Alexandria database. Energies are from PBE.

The structure in POSCAR format:
```
Mg5Np3Se12
1.0
-8.006 8.006 8.006
8.006 -8.006 8.006
8.006 8.006 -8.006
Mg Np Se
20 12 48
direct
0.000 0.000 0.000
0.000 0.000 0.500
0.000 0.500 0.000
0.000 0.500 0.500
0.125 0.750 0.875
0.125 0.875 0.250
0.250 0.125 0.875
0.250 0.625 0.375
0.375 0.250 0.625
0.375 0.625 0.750
0.500 0.000 0.000
0.500 0.000 0.500
0.500 0.500 0.000
0.500 0.500 0.500
0.625 0.375 0.250
0.625 0.750 0.375
0.750 0.375 0.625
0.750 0.875 0.125
0.875 0.125 0.750
0.875 0.250 0.125
0.125 0.250 0.375
0.125 0.375 0.750
0.250 0.375 0.125
0.250 0.875 0.625
0.375 0.125 0.250
0.375 0.750 0.125
0.625 0.250 0.875
0.625 0.875 0.750
0.750 0.125 0.375
0.750 0.625 0.875
0.875 0.625 0.250
0.875 0.750 0.625
0.047 0.222 0.130
0.047 0.325 0.917
0.083 0.630 0.409
0.083 0.953 0.675
0.091 0.722 0.675
0.091 0.870 0.417
0.130 0.047 0.222
0.130 0.583 0.909
0.175 0.222 0.591
0.175 0.453 0.583
0.222 0.130 0.047
0.222 0.591 0.175
0.278 0.325 0.909
0.278 0.453 0.370
0.325 0.909 0.278
0.325 0.917 0.047
0.370 0.278 0.453
0.370 0.591 0.917
0.409 0.083 0.630
0.409 0.825 0.778
0.417 0.091 0.870
0.417 0.825 0.547
0.453 0.370 0.278
0.453 0.583 0.175
0.547 0.417 0.825
0.547 0.630 0.722
0.583 0.175 0.453
0.583 0.909 0.130
0.591 0.175 0.222
0.591 0.917 0.370
0.630 0.409 0.083
0.630 0.722 0.547
0.675 0.083 0.953
0.675 0.091 0.722
0.722 0.547 0.630
0.722 0.675 0.091
0.778 0.409 0.825
0.778 0.870 0.953
0.825 0.547 0.417
0.825 0.778 0.409
0.870 0.417 0.091
0.870 0.953 0.778
0.909 0.130 0.583
0.909 0.278 0.325
0.917 0.047 0.325
0.917 0.370 0.591
0.953 0.675 0.083
0.953 0.778 0.870
```

Properties
V: 2052.9 Å³/cell
Theoretical density: 5.76 Mg/m³
Formation energy (no corrections): -0.945 eV per atom

Here is an optimized crystal structure of CrPAu2 from the Alexandria database. Energies are from PBE.

The structure in POSCAR format:
```
CrPAu2
1.0
1.448 0.836 8.686
-1.448 0.836 8.686
0.000 -1.672 8.686
Cr P Au
1 1 2
direct
0.000 0.000 0.000
0.275 0.275 0.275
0.514 0.514 0.514
0.751 0.751 0.751
```

Properties
V: 63.1 Å³/cell
Theoretical density: 12.55 Mg/m³
E_tot: -21.09 eV/cell

Here is an optimized crystal structure of YZr2Ga from the Alexandria database. Energies are from PBE.

The structure in POSCAR format:
```
YZr2Ga
1.0
-4.086 4.086 2.918
4.086 -4.086 2.918
4.086 4.086 -2.918
Y Zr Ga
2 4 2
direct
0.000 0.000 0.000
0.750 0.250 0.500
0.167 0.125 0.542
0.375 0.833 0.958
0.583 0.625 0.458
0.875 0.417 0.042
0.250 0.750 0.500
0.500 0.500 0.000
```

Properties
V: 194.9 Å³/cell
Theoretical density: 5.81 Mg/m³
E_tot: -52.32 eV/cell

Here is an optimized crystal structure of Ac7Pd2Au2 from the Alexandria database. Energies are from PBE.

The structure in POSCAR format:
```
Ac7Pd2Au2
1.0
-2.101 8.649 5.238
2.101 -8.649 5.238
2.101 8.649 -5.238
Ac Pd Au
7 2 2
direct
0.000 0.000 0.000
0.257 0.366 0.891
0.268 0.575 0.693
0.476 0.366 0.109
0.600 0.216 0.384
0.833 0.216 0.616
0.882 0.575 0.307
0.219 0.719 0.500
0.621 0.621 0.000
0.100 0.862 0.239
0.623 0.862 0.761
```

Properties
V: 380.7 Å³/cell
ΔE to the lowest computed polymorph: 0 meV per atom
Theoretical density: 9.58 Mg/m³

Here is an optimized crystal structure of Cs2SnIBr6 from the Alexandria database. Energies are from PBE.

The structure in POSCAR format:
```
Cs2SnIBr6
1.0
-4.312 4.312 5.778
4.312 -4.312 5.778
4.312 4.312 -5.778
Cs Sn I Br
2 1 1 6
direct
0.250 0.750 0.500
0.750 0.250 0.500
0.000 0.000 0.000
0.500 0.500 0.000
0.220 0.220 0.440
0.220 0.780 0.000
0.235 0.235 0.000
0.765 0.765 0.000
0.780 0.220 0.000
0.780 0.780 0.560
```

Properties
V: 429.8 Å³/cell
Theoretical density: 3.83 Mg/m³
Formation energy (no corrections): -0.992 eV per atom

Here is an optimized crystal structure of ErBH2O4 from the Alexandria database. Energies are from PBE.

The structure in POSCAR format:
```
ErBH2O4
1.0
-2.007 2.665 2.933
2.007 -2.665 2.933
2.007 2.665 -2.933
Er B H O
1 1 2 4
direct
0.000 0.000 0.000
0.500 0.500 0.000
0.346 0.846 0.500
0.654 0.154 0.500
0.211 0.108 0.623
0.484 0.588 0.377
0.516 0.892 0.103
0.789 0.412 0.897
```

Properties
V: 62.8 Å³/cell
Theoretical density: 6.46 Mg/m³
E_tot: -54.87 eV/cell

Here is an optimized crystal structure of LiMg4Tl2 from the Alexandria database. Energies are from PBE.

The structure in POSCAR format:
```
LiMg4Tl2
1.0
6.719 0.000 0.000
0.000 14.259 0.000
0.000 0.000 3.424
Li Mg Tl
2 8 4
direct
0.000 0.000 0.000
0.500 0.500 0.000
0.037 0.237 0.000
0.188 0.599 0.500
0.312 0.099 0.500
0.463 0.737 0.000
0.537 0.263 0.000
0.688 0.901 0.500
0.812 0.401 0.500
0.963 0.763 0.000
0.243 0.887 0.500
0.257 0.387 0.500
0.743 0.613 0.500
0.757 0.113 0.500
```

Properties
V: 328.1 Å³/cell
ΔE to the lowest computed polymorph: 0 meV per atom
Theoretical density: 5.19 Mg/m³

Here is an optimized crystal structure of SrCrSbTe2 from the Alexandria database. Energies are from PBE.

The structure in POSCAR format:
```
SrCrSbTe2
1.0
5.508 0.000 0.000
0.000 5.508 0.000
0.000 0.000 5.062
Sr Cr Sb Te
1 1 1 2
direct
0.000 0.000 0.000
0.500 0.500 0.500
0.500 0.500 0.000
0.000 0.500 0.500
0.500 0.000 0.500
```

Properties
V: 153.6 Å³/cell
ΔE to the lowest computed polymorph: 0 meV per atom
Theoretical density: 5.59 Mg/m³
Formation energy (no corrections): -0.346 eV per atom

Here is an optimized crystal structure of NaP6Pd12 from the Alexandria database. Energies are from PBE.

The structure in POSCAR format:
```
NaP6Pd12
1.0
5.574 3.218 2.923
-5.574 3.218 2.923
0.000 -6.437 2.923
Na P Pd
1 6 12
direct
0.000 0.000 0.000
0.237 0.237 0.668
0.237 0.668 0.237
0.332 0.763 0.763
0.668 0.237 0.237
0.763 0.332 0.763
0.763 0.763 0.332
0.127 0.500 0.873
0.127 0.873 0.500
0.180 0.451 0.451
0.451 0.180 0.451
0.451 0.451 0.180
0.500 0.127 0.873
0.500 0.873 0.127
0.549 0.549 0.820
0.549 0.820 0.549
0.820 0.549 0.549
0.873 0.127 0.500
0.873 0.500 0.127
```

Properties
V: 314.6 Å³/cell
Theoretical density: 7.84 Mg/m³
E_tot: -103.94 eV/cell

Here is an optimized crystal structure of FeMo2Ir from the Alexandria database. Energies are from PBE.

The structure in POSCAR format:
```
FeMo2Ir
1.0
4.604 0.000 0.000
0.000 4.604 0.000
0.000 0.000 2.796
Fe Mo Ir
1 2 1
direct
0.000 0.000 0.000
0.000 0.500 0.500
0.500 0.000 0.500
0.500 0.500 0.000
```

Properties
V: 59.3 Å³/cell
ΔE to the lowest computed polymorph: 246 meV per atom
Theoretical density: 12.33 Mg/m³

Here is an optimized crystal structure of Pm4Np from the Alexandria database. Energies are from PBE.

The structure in POSCAR format:
```
Pm4Np
1.0
5.676 0.000 0.000
0.000 5.676 0.000
0.000 0.000 5.676
Pm Np
4 1
direct
0.000 0.000 0.000
0.000 0.500 0.500
0.500 0.000 0.500
0.500 0.500 0.000
0.500 0.500 0.500
```

Properties
V: 182.8 Å³/cell
Theoretical density: 7.42 Mg/m³
E_tot: -28.68 eV/cell

Here is an optimized crystal structure of SrCdMo from the Alexandria database. Energies are from PBE.

The structure in POSCAR format:
```
SrCdMo
1.0
8.670 -1.812 0.000
8.670 1.812 0.000
-1.060 0.000 5.316
Sr Cd Mo
2 2 2
direct
0.000 0.000 0.000
0.745 0.745 0.322
0.166 0.166 0.768
0.336 0.336 0.893
0.422 0.422 0.452
0.547 0.547 0.524
```

Properties
V: 167.0 Å³/cell
ΔE to the lowest computed polymorph: 159 meV per atom
Theoretical density: 5.89 Mg/m³

Here is an optimized crystal structure of FeSiOs2 from the Alexandria database. Energies are from PBE.

The structure in POSCAR format:
```
FeSiOs2
1.0
-1.842 1.842 3.841
1.842 -1.842 3.841
1.842 1.842 -3.841
Fe Si Os
1 1 2
direct
0.000 0.000 0.000
0.750 0.250 0.500
0.250 0.750 0.500
0.500 0.500 0.000
```

Properties
V: 52.1 Å³/cell
Theoretical density: 14.79 Mg/m³
Formation energy (no corrections): 0.027 eV per atom